(1)
DFT (PBE) results for an optimized crystal structure of Er2SiW2C2.

abc: 13.649 3.285 5.776
angles: 90.00 112.59 90.00
Space group C2/m (No. 12)
Unique sites:
Er 0.132 0.000 0.311 (multiplicity 4)
Si 0.000 0.500 0.500 (multiplicity 2)
W 0.172 0.500 0.840 (multiplicity 4)
C 0.249 0.500 0.245 (multiplicity 4)

***

(2)
DFT (PBE) results for an optimized crystal structure of Sm2Er2C3.

abc: 13.306 3.755 6.120
angles: 90.00 116.27 90.00
Space group C2/m (No. 12)
Unique sites:
Sm 0.134 0.000 0.487 (multiplicity 4)
Er 0.136 0.500 0.941 (multiplicity 4)
C 0.000 0.500 0.500 (multiplicity 2)
C 0.219 0.000 0.198 (multiplicity 4)

***

(3)
DFT (PBE) results for an optimized crystal structure of Er3SnC.

abc: 4.831 4.831 4.831
angles: 90.00 90.00 90.00
Space group Pm-3m (No. 221)
Unique sites:
Er 0.000 0.000 0.500 (multiplicity 3)
Sn 0.500 0.500 0.500 (multiplicity 1)
C 0.000 0.000 0.000 (multiplicity 1)

***

(4)
DFT (PBE) results for an optimized crystal structure of Er4Sn2C.

abc: 4.746 4.746 15.779
angles: 90.00 90.00 90.00
Space group I4/mmm (No. 139)
Unique sites:
Er 0.000 0.000 0.158 (multiplicity 4)
Er 0.000 0.500 0.000 (multiplicity 4)
Sn 0.000 0.000 0.359 (multiplicity 4)
C 0.000 0.000 0.000 (multiplicity 2)

***

(5)
DFT (PBE) results for an optimized crystal structure of TbErSnC.

abc: 3.6106 3.6106 15.8648
angles: 90.00 90.00 120.00
Space group P-3m1 (No. 164)
Unique sites:
Tb 0.3333 0.6667 0.0856 (multiplicity 2)
Er 0.3333 0.6667 0.4170 (multiplicity 2)
Sn 0.3333 0.6667 0.7472 (multiplicity 2)
C 0.0000 0.0000 0.0000 (multiplicity 1)
C 0.0000 0.0000 0.5000 (multiplicity 1)

***

(6)
DFT (PBE) results for an optimized crystal structure of TbErSnC.

abc: 3.6115 3.6115 15.8531
angles: 90.00 90.00 120.00
Space group P-6m2 (No. 187)
Unique sites:
Tb 0.0000 0.0000 0.1669 (multiplicity 2)
Er 0.3333 0.6667 0.3356 (multiplicity 2)
Sn 0.0000 0.0000 0.5000 (multiplicity 1)
Sn 0.3333 0.6667 0.0000 (multiplicity 1)
C 0.6667 0.3333 0.2528 (multiplicity 2)

***

(7)
DFT (PBE) results for an optimized crystal structure of Tb3ErSn2C2.

abc: 3.6258 3.6258 15.9363
angles: 90.00 90.00 120.00
Space group P3m1 (No. 156)
Unique sites:
Tb 0.0000 0.0000 0.0000 (multiplicity 1)
Tb 0.0000 0.0000 0.3316 (multiplicity 1)
Tb 0.3333 0.6667 0.5018 (multiplicity 1)
Er 0.3333 0.6667 0.8323 (multiplicity 1)
Sn 0.0000 0.0000 0.6685 (multiplicity 1)
Sn 0.3333 0.6667 0.1659 (multiplicity 1)
C 0.6667 0.3333 0.4168 (multiplicity 1)
C 0.6667 0.3333 0.9148 (multiplicity 1)

***

(8)
DFT (PBE) results for an optimized crystal structure of Er4SnTeC2.

abc: 3.6833 3.6833 14.8150
angles: 90.00 90.00 120.00
Space group P-6m2 (No. 187)
Unique sites:
Er 0.0000 0.0000 0.1527 (multiplicity 2)
Er 0.6667 0.3333 0.3288 (multiplicity 2)
Sn 0.0000 0.0000 0.5000 (multiplicity 1)
Te 0.6667 0.3333 0.0000 (multiplicity 1)
C 0.3333 0.6667 0.2395 (multiplicity 2)

***

(9)
DFT (PBE) results for an optimized crystal structure of Er4TlSnC2.

abc: 3.5787 3.5787 15.9101
angles: 90.00 90.00 120.00
Space group P-6m2 (No. 187)
Unique sites:
Er 0.0000 0.0000 0.1647 (multiplicity 2)
Er 0.3333 0.6667 0.3317 (multiplicity 2)
Tl 0.0000 0.0000 0.5000 (multiplicity 1)
Sn 0.3333 0.6667 0.0000 (multiplicity 1)
C 0.6667 0.3333 0.2473 (multiplicity 2)

***

(10)
DFT (PBE) results for an optimized crystal structure of ErTmSnC.

abc: 3.5740 3.5740 15.6322
angles: 90.00 90.00 120.00
Space group P6_3mc (No. 186)
Unique sites:
Er 0.3333 0.6667 0.0000 (multiplicity 2)
Tm 0.3333 0.6667 0.6683 (multiplicity 2)
Sn 0.3333 0.6667 0.3338 (multiplicity 2)
C 0.0000 0.0000 0.0846 (multiplicity 2)

***

(11)
DFT (PBE) results for an optimized crystal structure of ErTm3Sn2C2.

abc: 3.5695 3.5695 15.6089
angles: 90.00 90.00 120.00
Space group P3m1 (No. 156)
Unique sites:
Er 0.0000 0.0000 0.0000 (multiplicity 1)
Tm 0.0000 0.0000 0.6682 (multiplicity 1)
Tm 0.6667 0.3333 0.1685 (multiplicity 1)
Tm 0.6667 0.3333 0.5003 (multiplicity 1)
Sn 0.0000 0.0000 0.3343 (multiplicity 1)
Sn 0.6667 0.3333 0.8339 (multiplicity 1)
C 0.3333 0.6667 0.0847 (multiplicity 1)
C 0.3333 0.6667 0.5842 (multiplicity 1)

***

(12)
DFT (PBE) results for an optimized crystal structure of ErTmSnC.

abc: 3.5740 3.5740 15.6361
angles: 90.00 90.00 120.00
Space group P-6m2 (No. 187)
Unique sites:
Er 0.0000 0.0000 0.1658 (multiplicity 2)
Tm 0.6667 0.3333 0.3342 (multiplicity 2)
Sn 0.0000 0.0000 0.5000 (multiplicity 1)
Sn 0.6667 0.3333 0.0000 (multiplicity 1)
C 0.3333 0.6667 0.2505 (multiplicity 2)

***

Going through the records in order, we get DFT total energy values of -60.68; -47.39; -30.19; -40.23; -24.60; -24.59; -49.13; -49.55; -46.99; -24.61; -49.16; -24.61 eV per formula unit.